Entry 1:
Here is TaCdNO after structural relaxation from OQMD via LeMat-Bulk. Energies are from PBE-GGA.

Summary:
Electronic total energy = -7.605 eV per atom
Energy above the lowest structure with this stoichiometry = 0 meV/atom

a = 6.000 Å, b = 7.640 Å, c = 5.490 Å
α = 90.00°, β = 90.00°, γ = 90.00°
Space group Pca2_1 (No. 29)
Unique sites:
1 Ta 0.145 0.130 0.000
2 Cd 0.238 0.624 0.251
3 N 0.114 0.003 0.656
4 O 0.183 0.291 0.282

Entry 2:
Here is RbDy3I after structural relaxation from OQMD via LeMat-Bulk. Energies are from PBE-GGA.

Summary:
Electronic total energy = -2.825 eV per atom

a = 5.873 Å, b = 5.873 Å, c = 5.873 Å
α = 90.00°, β = 90.00°, γ = 90.00°
Space group Pm-3m (No. 221)
Unique sites:
1 Rb 0.000 0.000 0.000
2 Dy 0.000 0.500 0.500
3 I 0.500 0.500 0.500

Entry 3:
Here is CuAgBiOs after structural relaxation from OQMD via LeMat-Bulk. Energies are from PBE-GGA.

Summary:
Electronic total energy = -4.758 eV per atom
Energy above the lowest structure with this stoichiometry = 0 meV/atom

a = 6.569 Å, b = 6.569 Å, c = 6.569 Å
α = 90.00°, β = 90.00°, γ = 90.00°
Space group F-43m (No. 216)
Unique sites:
1 Cu 0.000 0.000 0.000
2 Ag 0.250 0.250 0.250
3 Bi 0.250 0.250 0.750
4 Os 0.000 0.000 0.500

Entry 4:
Here is Zr4InSiC2 after structural relaxation from OQMD via LeMat-Bulk. Energies are from PBE-GGA.

Summary:
Electronic total energy = -8.318 eV per atom

a = 3.3514 Å, b = 3.3514 Å, c = 14.3378 Å
α = 90.00°, β = 90.00°, γ = 120.00°
Space group P-6m2 (No. 187)
Unique sites:
1 Zr 0.0000 0.0000 0.1474
2 Zr 0.6667 0.3333 0.3240
3 In 0.0000 0.0000 0.5000
4 Si 0.6667 0.3333 0.0000
5 C 0.3333 0.6667 0.2378

Entry 5:
Here is KBeZn after structural relaxation from OQMD via LeMat-Bulk. Energies are from PBE-GGA.

Summary:
Electronic total energy = -1.152 eV per atom
Energy above the lowest structure with this stoichiometry = 0 meV/atom

a = 6.868 Å, b = 6.868 Å, c = 6.868 Å
α = 90.00°, β = 90.00°, γ = 90.00°
Space group F-43m (No. 216)
Unique sites:
1 K 0.000 0.000 0.000
2 Be 0.250 0.250 0.250
3 Zn 0.000 0.000 0.500

Entry 6:
Here is KDy2CuNi after structural relaxation from OQMD via LeMat-Bulk. Energies are from PBE-GGA.

Summary:
Electronic total energy = -4.006 eV per atom

a = 3.736 Å, b = 4.261 Å, c = 17.197 Å
α = 90.00°, β = 90.00°, γ = 90.00°
Space group Amm2 (No. 38)
Unique sites:
1 K 0.000 0.000 0.000
2 Dy 0.500 0.000 0.328
3 Dy 0.500 0.000 0.668
4 Cu 0.000 0.000 0.795
5 Ni 0.000 0.000 0.208

Entry 7:
Here is PmPaAu after structural relaxation from OQMD via LeMat-Bulk. Energies are from PBE-GGA.

Summary:
Electronic total energy = -5.434 eV per atom
Formation enthalpy at 0 K = 1.205 eV per formula unit

a = 6.943 Å, b = 6.943 Å, c = 6.943 Å
α = 90.00°, β = 90.00°, γ = 90.00°
Space group F-43m (No. 216)
Unique sites:
1 Pm 0.000 0.000 0.000
2 Pa 0.250 0.250 0.750
3 Au 0.000 0.000 0.500

Entry 8:
Here is LiCu3ReTe4 after structural relaxation from OQMD via LeMat-Bulk. Energies are from PBE-GGA.

Summary:
Electronic total energy = -4.165 eV per atom

a = 6.035 Å, b = 6.035 Å, c = 6.035 Å
α = 90.00°, β = 90.00°, γ = 90.00°
Space group P-43m (No. 215)
Unique sites:
1 Li 0.000 0.000 0.000
2 Cu 0.000 0.500 0.500
3 Re 0.500 0.500 0.500
4 Te 0.250 0.250 0.250